No. 1
Compound: CrInIr2
Source: Alexandria
Functional: PBE
Structure: relaxed

```
data_CrInIr2
_symmetry_space_group_name_H-M 'P 1'
_symmetry_Int_Tables_number 1
_cell_length_a 4.924
_cell_length_b 4.924
_cell_length_c 4.924
_cell_angle_alpha 133.16
_cell_angle_beta 133.16
_cell_angle_gamma 68.41
loop_
_symmetry_equiv_pos_as_xyz
'x,y,z'
loop_
_atom_site_label
_atom_site_type_symbol
_atom_site_fract_x
_atom_site_fract_y
_atom_site_fract_z
_atom_site_occupancy
Cr1 Cr 0.000 0.000 0.000 1
In1 In 0.250 0.750 0.500 1
Ir1 Ir 0.500 0.500 0.000 1
Ir2 Ir 0.750 0.250 0.500 1
```

Properties
- Space group: I-4m2
- ΔE_f: 0.049 eV/atom

=====

No. 2
Compound: CrInIr2
Source: Alexandria
Functional: PBE
Structure: relaxed

```
data_CrInIr2
_symmetry_space_group_name_H-M 'P 1'
_symmetry_Int_Tables_number 1
_cell_length_a 2.833
_cell_length_b 2.833
_cell_length_c 7.559
_cell_angle_alpha 90.00
_cell_angle_beta 90.00
_cell_angle_gamma 90.00
loop_
_symmetry_equiv_pos_as_xyz
'x,y,z'
loop_
_atom_site_label
_atom_site_type_symbol
_atom_site_fract_x
_atom_site_fract_y
_atom_site_fract_z
_atom_site_occupancy
Cr1 Cr 0.000 0.000 0.000 1
In1 In 0.000 0.000 0.500 1
Ir1 Ir 0.500 0.500 0.219 1
Ir2 Ir 0.500 0.500 0.781 1
```

Properties
- Space group: P4/mmm
- ΔE_f: -0.094 eV/atom

=====

No. 3
Compound: Cr2InIr
Source: Alexandria
Functional: PBE
Structure: relaxed

```
data_Cr2InIr
_symmetry_space_group_name_H-M 'P 1'
_symmetry_Int_Tables_number 1
_cell_length_a 2.944
_cell_length_b 3.581
_cell_length_c 5.883
_cell_angle_alpha 90.00
_cell_angle_beta 90.00
_cell_angle_gamma 90.00
loop_
_symmetry_equiv_pos_as_xyz
'x,y,z'
loop_
_atom_site_label
_atom_site_type_symbol
_atom_site_fract_x
_atom_site_fract_y
_atom_site_fract_z
_atom_site_occupancy
Cr1 Cr 0.000 0.000 0.000 1
Cr2 Cr 0.500 0.500 0.207 1
In1 In 0.000 0.000 0.491 1
Ir1 Ir 0.500 0.500 0.755 1
```

Properties
- Space group: Pmm2
- ΔE_f: 0.145 eV/atom

=====

No. 4
Compound: CrIn3Ir
Source: Alexandria
Functional: PBE
Structure: relaxed

```
data_CrIn3Ir
_symmetry_space_group_name_H-M 'P 1'
_symmetry_Int_Tables_number 1
_cell_length_a 5.161
_cell_length_b 5.161
_cell_length_c 5.161
_cell_angle_alpha 90.00
_cell_angle_beta 90.00
_cell_angle_gamma 90.00
loop_
_symmetry_equiv_pos_as_xyz
'x,y,z'
loop_
_atom_site_label
_atom_site_type_symbol
_atom_site_fract_x
_atom_site_fract_y
_atom_site_fract_z
_atom_site_occupancy
Cr1 Cr 0.000 0.000 0.000 1
In1 In 0.000 0.500 0.500 1
In2 In 0.500 0.000 0.500 1
In3 In 0.500 0.500 0.000 1
Ir1 Ir 0.500 0.500 0.500 1
```

Properties
- Space group: Pm-3m
- ΔE_f: 0.411 eV/atom

=====

No. 5
Compound: CrInIr2
Source: Alexandria
Functional: PBE
Structure: relaxed

```
data_CrInIr2
_symmetry_space_group_name_H-M 'P 1'
_symmetry_Int_Tables_number 1
_cell_length_a 4.859
_cell_length_b 4.859
_cell_length_c 4.772
_cell_angle_alpha 100.83
_cell_angle_beta 100.83
_cell_angle_gamma 34.63
loop_
_symmetry_equiv_pos_as_xyz
'x,y,z'
loop_
_atom_site_label
_atom_site_type_symbol
_atom_site_fract_x
_atom_site_fract_y
_atom_site_fract_z
_atom_site_occupancy
Cr1 Cr 0.000 0.000 0.000 1
In1 In 0.238 0.238 0.683 1
Ir1 Ir 0.485 0.485 0.448 1
Ir2 Ir 0.738 0.738 0.174 1
```

Properties
- Space group: Cm
- ΔE_f: 0.074 eV/atom

=====

No. 6
Compound: CrInIr4
Source: Alexandria
Functional: PBE
Structure: relaxed

```
data_CrInIr4
_symmetry_space_group_name_H-M 'P 1'
_symmetry_Int_Tables_number 1
_cell_length_a 5.218
_cell_length_b 5.218
_cell_length_c 5.218
_cell_angle_alpha 60.00
_cell_angle_beta 60.00
_cell_angle_gamma 60.00
loop_
_symmetry_equiv_pos_as_xyz
'x,y,z'
loop_
_atom_site_label
_atom_site_type_symbol
_atom_site_fract_x
_atom_site_fract_y
_atom_site_fract_z
_atom_site_occupancy
Cr1 Cr 0.000 0.000 0.000 1
In1 In 0.750 0.750 0.750 1
Ir1 Ir 0.375 0.375 0.375 1
Ir2 Ir 0.375 0.375 0.875 1
Ir3 Ir 0.375 0.875 0.375 1
Ir4 Ir 0.875 0.375 0.375 1
```

Properties
- Space group: F-43m
- ΔE_f: 0.295 eV/atom

=====

No. 7
Compound: CrInIr2
Source: Alexandria
Functional: PBE
Structure: relaxed

```
data_CrInIr2
_symmetry_space_group_name_H-M 'P 1'
_symmetry_Int_Tables_number 1
_cell_length_a 4.487
_cell_length_b 4.487
_cell_length_c 4.487
_cell_angle_alpha 60.00
_cell_angle_beta 60.00
_cell_angle_gamma 60.00
loop_
_symmetry_equiv_pos_as_xyz
'x,y,z'
loop_
_atom_site_label
_atom_site_type_symbol
_atom_site_fract_x
_atom_site_fract_y
_atom_site_fract_z
_atom_site_occupancy
Cr1 Cr 0.000 0.000 0.000 1
In1 In 0.250 0.250 0.250 1
Ir1 Ir 0.500 0.500 0.500 1
Ir2 Ir 0.750 0.750 0.750 1
```

Properties
- Space group: F-43m
- ΔE_f: 0.318 eV/atom

=====

No. 8
Compound: CrInIr2
Source: Alexandria
Functional: PBE
Structure: relaxed

```
data_CrInIr2
_symmetry_space_group_name_H-M 'P 1'
_symmetry_Int_Tables_number 1
_cell_length_a 5.411
_cell_length_b 5.411
_cell_length_c 5.411
_cell_angle_alpha 147.94
_cell_angle_beta 130.48
_cell_angle_gamma 60.22
loop_
_symmetry_equiv_pos_as_xyz
'x,y,z'
loop_
_atom_site_label
_atom_site_type_symbol
_atom_site_fract_x
_atom_site_fract_y
_atom_site_fract_z
_atom_site_occupancy
Cr1 Cr 0.000 0.000 0.000 1
In1 In 0.261 0.761 0.500 1
Ir1 Ir 0.518 0.518 0.000 1
Ir2 Ir 0.778 0.278 0.500 1
```

Properties
- Space group: Imm2
- ΔE_f: 0.191 eV/atom